Computed, not measured: HfNiAsF2 after structural relaxation at the GGA+U level of DFT.

Summary:
The total energy is -29.20 eV for the cell shown.

Cell lengths 4.0557, 5.3423, 4.0557 Å; angles 90.00, 90.00, 90.00 degrees
Closest atoms and distances in Å follow each position.
Positions (direct):
Ni (0.5000, 0.5000, 0.5000)  4 As 2.87
As (0.0000, 0.5000, 0.0000)  2 Hf 2.67, 4 Ni 2.87
Hf (0.0000, 0.0000, 0.0000)  4 F 2.03
F (0.0000, 0.0000, 0.5000)  2 Hf 2.03
F (0.5000, 0.0000, 0.0000)  2 Hf 2.03